Here is a geometry-optimized U6Pd3S14 structure from Alexandria via LeMat-Bulk. Energies are from PBE-GGA.

Unit cell a=9.555 b=9.555 c=5.648 alpha=90.00 beta=90.00 gamma=120.00
Sites, in units of the cell vectors:
U 0.040 0.485 0.000
U 0.290 0.180 0.498
U 0.445 0.960 0.000
U 0.515 0.555 0.000
U 0.820 0.109 0.498
U 0.891 0.710 0.498
Pd 0.000 0.000 0.122
Pd 0.333 0.667 0.628
Pd 0.667 0.333 0.303
S 0.000 0.000 0.706
S 0.107 0.267 0.257
S 0.160 0.893 0.257
S 0.173 0.776 0.759
S 0.224 0.398 0.759
S 0.333 0.667 0.208
S 0.414 0.227 0.974
S 0.515 0.066 0.476
S 0.551 0.485 0.476
S 0.602 0.827 0.759
S 0.733 0.840 0.257
S 0.773 0.187 0.974
S 0.813 0.586 0.974
S 0.934 0.449 0.476

Output
**Uncorrected formation energy**: -1.1218 eV per atom
**Crystal system**: trigonal
**DOS(E_F)**: 37.216 states/eV/cell
**SG**: No. 143

=====

Here is a geometry-optimized U7Pd24S32 structure from Alexandria via LeMat-Bulk. Energies are from PBE-GGA.

Unit cell a=11.566 b=11.566 c=11.566 alpha=109.47 beta=109.47 gamma=109.47
Sites, in units of the cell vectors:
U 0.000 0.000 0.500
U 0.000 0.500 0.000
U 0.000 0.500 0.500
U 0.500 0.000 0.000
U 0.500 0.000 0.500
U 0.500 0.500 0.000
U 0.500 0.500 0.500
Pd 0.119 0.249 0.870
Pd 0.127 0.751 0.376
Pd 0.130 0.379 0.249
Pd 0.130 0.881 0.751
Pd 0.249 0.130 0.379
Pd 0.249 0.376 0.625
Pd 0.249 0.624 0.873
Pd 0.249 0.870 0.119
Pd 0.375 0.751 0.624
Pd 0.376 0.127 0.751
Pd 0.376 0.625 0.249
Pd 0.379 0.249 0.130
Pd 0.621 0.751 0.870
Pd 0.624 0.375 0.751
Pd 0.624 0.873 0.249
Pd 0.625 0.249 0.376
Pd 0.751 0.130 0.881
Pd 0.751 0.376 0.127
Pd 0.751 0.624 0.375
Pd 0.751 0.870 0.621
Pd 0.870 0.119 0.249
Pd 0.870 0.621 0.751
Pd 0.873 0.249 0.624
Pd 0.881 0.751 0.130
S 0.000 0.000 0.262
S 0.000 0.000 0.738
S 0.000 0.262 0.000
S 0.000 0.738 0.000
S 0.001 0.500 0.251
S 0.001 0.751 0.501
S 0.249 0.251 0.750
S 0.249 0.499 0.999
S 0.250 0.500 0.499
S 0.250 0.751 0.749
S 0.251 0.001 0.500
S 0.251 0.750 0.249
S 0.262 0.000 0.000
S 0.262 0.262 0.262
S 0.499 0.250 0.500
S 0.499 0.999 0.249
S 0.500 0.251 0.001
S 0.500 0.499 0.250
S 0.500 0.501 0.750
S 0.500 0.749 0.999
S 0.501 0.001 0.751
S 0.501 0.750 0.500
S 0.738 0.000 0.000
S 0.738 0.738 0.738
S 0.749 0.250 0.751
S 0.749 0.999 0.500
S 0.750 0.249 0.251
S 0.750 0.500 0.501
S 0.751 0.501 0.001
S 0.751 0.749 0.250
S 0.999 0.249 0.499
S 0.999 0.500 0.749

Output
**Uncorrected formation energy**: -0.7131 eV per atom
**Crystal system**: cubic
**DOS(E_F)**: 45.528 states/eV/cell
**SG**: No. 204

=====

Here is a geometry-optimized ZrU2Pd2S6 structure from Alexandria via LeMat-Bulk. Energies are from PBE-GGA.

Unit cell a=6.518 b=6.518 c=6.180 alpha=90.00 beta=90.00 gamma=120.00
Sites, in units of the cell vectors:
Zr 0.000 0.000 0.000
U 0.333 0.667 0.000
U 0.667 0.333 0.000
Pd 0.333 0.667 0.500
Pd 0.667 0.333 0.500
S 0.000 0.327 0.250
S 0.000 0.673 0.750
S 0.327 0.000 0.250
S 0.327 0.327 0.750
S 0.673 0.000 0.750
S 0.673 0.673 0.250

Output
**Uncorrected formation energy**: -1.0756 eV per atom
**Crystal system**: trigonal
**DOS(E_F)**: 10.321 states/eV/cell
**SG**: No. 162